Ca2OsW after structural relaxation. Source: the Alexandria database, functional PBE.

Calculated values
The calculation puts the final energy at -6.112 eV/atom. Its symmetry is No. 166. The value obtained for the formation energy is 0.93 eV/atom. The crystal system is trigonal.

Unit cell a=10.2428 b=10.2428 c=10.2428 alpha=16.88 beta=16.88 gamma=16.88
Closest atoms and distances in Å follow each position.
Fractional coordinates of all 4 atoms:
Ca: 0.2452 0.2452 0.2452  3 Os 2.95, 6 Ca 3.01, 3 W 3.18
Ca: 0.7548 0.7548 0.7548  3 Os 2.95, 6 Ca 3.01, 3 W 3.18
Os: 0.5000 0.5000 0.5000  6 Ca 2.95, 6 Os 3.01
W: 0.0000 0.0000 0.0000  6 W 3.01, 6 Ca 3.18

YCd2Re after structural relaxation. Source: the Alexandria database, functional PBE.

Calculated values
The calculation puts the final energy at -4.569 eV/atom. Its symmetry is No. 122. As for the offset from the most stable computed form: 1.50 eV per formula unit. The value obtained for the formation energy is 0.62 eV/atom. The crystal system is tetragonal.

Unit cell a=10.9348 b=10.9348 c=10.9348 alpha=157.99 beta=157.99 gamma=31.32
Closest atoms and distances in Å follow each position.
Fractional coordinates of all 8 atoms:
Y: 0.0000 0.0000 0.0000  4 Re 2.95, 4 Cd 3.07
Y: 0.7500 0.2500 0.5000  4 Re 2.95, 4 Cd 3.07
Cd: 0.1577 0.6250 0.0327  2 Cd 2.77, 2 Re 2.97, 2 Y 3.07
Cd: 0.3750 0.4077 0.5327  2 Cd 2.77, 2 Re 2.97, 2 Y 3.07
Cd: 0.5923 0.1250 0.9673  2 Cd 2.77, 2 Re 2.97, 2 Y 3.07
Cd: 0.8750 0.8423 0.4673  2 Cd 2.77, 2 Re 2.97, 2 Y 3.07
Re: 0.2500 0.7500 0.5000  4 Y 2.95, 4 Cd 2.97
Re: 0.5000 0.5000 0.0000  4 Y 2.95, 4 Cd 2.97

Li2MgRe2 after structural relaxation. Source: the Alexandria database, functional PBE.

Calculated values
The calculation puts the final energy at -5.513 eV/atom. Its symmetry is No. 127. The value obtained for the formation energy is 0.55 eV/atom. The crystal system is tetragonal.

Unit cell a=7.8245 b=7.8245 c=2.5802 alpha=90.00 beta=90.00 gamma=90.00
Closest atoms and distances in Å follow each position.
Fractional coordinates of all 10 atoms:
Li: 0.1810 0.3190 0.0000  2 Li 2.58, 6 Re 2.65-2.67, 2 Mg 2.87
Li: 0.3190 0.8190 0.0000  2 Li 2.58, 6 Re 2.65-2.67, 2 Mg 2.87
Li: 0.6810 0.1810 0.0000  2 Li 2.58, 6 Re 2.65-2.67, 2 Mg 2.87
Li: 0.8190 0.6810 0.0000  2 Li 2.58, 6 Re 2.65-2.67, 2 Mg 2.87
Mg: 0.0000 0.0000 0.0000  2 Mg 2.58, 4 Li 2.87
Mg: 0.5000 0.5000 0.0000  2 Mg 2.58, 4 Li 2.87
Re: 0.1094 0.6094 0.5000  3 Re 2.42-2.58, 6 Li 2.65-2.67
Re: 0.3906 0.1094 0.5000  3 Re 2.42-2.58, 6 Li 2.65-2.67
Re: 0.6094 0.8906 0.5000  3 Re 2.42-2.58, 6 Li 2.65-2.67
Re: 0.8906 0.3906 0.5000  3 Re 2.42-2.58, 6 Li 2.65-2.67

Th2Al4CuAu3 after structural relaxation. Source: the Alexandria database, functional PBE.

Calculated values
The calculation puts the final energy at -5.006 eV/atom. Its symmetry is No. 115. The value obtained for the formation energy is -0.63 eV/atom. The crystal system is tetragonal.

Unit cell a=4.3726 b=4.3726 c=10.4521 alpha=90.00 beta=90.00 gamma=90.00
Closest atoms and distances in Å follow each position.
Fractional coordinates of all 10 atoms:
Th: 0.0000 0.5000 0.2419  8 Al 3.32-3.47, 2 Cu 3.34, 6 Au 3.34-3.36
Th: 0.5000 0.0000 0.7581  8 Al 3.32-3.47, 2 Cu 3.34, 6 Au 3.34-3.36
Al: 0.0000 0.0000 0.5000  4 Au 2.59
Al: 0.0000 0.5000 0.8740  3 Au 2.52-2.55, 2 Cu 2.55
Al: 0.5000 0.0000 0.1260  3 Au 2.52-2.55, 2 Cu 2.55
Al: 0.5000 0.5000 0.5000  4 Au 2.59
Cu: 0.5000 0.5000 0.0000  4 Al 2.55
Au: 0.0000 0.0000 0.0000  4 Al 2.55
Au: 0.0000 0.5000 0.6327  5 Al 2.52-2.59
Au: 0.5000 0.0000 0.3673  5 Al 2.52-2.59